(1)
A relaxed structure of Ag2SbAu, computed with GGA-PBE.

a = 7.0800 Å, b = 5.8279 Å, c = 8.5413 Å
α = 90.00°, β = 107.01°, γ = 90.00°
Fractional positions:
Ag: 0.0265 0.2494 0.0066
Ag: 0.0265 0.2506 0.5066
Ag: 0.2080 0.5015 0.2991
Ag: 0.2080 0.9985 0.7991
Ag: 0.7920 0.0015 0.2009
Ag: 0.7920 0.4985 0.7009
Ag: 0.9735 0.7494 0.4934
Ag: 0.9735 0.7506 0.9934
Sb: 0.4192 0.7462 0.6006
Sb: 0.4192 0.7538 0.1006
Sb: 0.5808 0.2462 0.8994
Sb: 0.5808 0.2538 0.3994
Au: 0.2241 0.5019 0.8051
Au: 0.2241 0.9981 0.3051
Au: 0.7759 0.0019 0.6949
Au: 0.7759 0.4981 0.1949

Calculated values
Raw formation energy = 25 meV per atom

=====

(2)
A relaxed structure of InCuSCl2, computed with GGA-PBE.

a = 5.0207 Å, b = 5.0207 Å, c = 5.0174 Å
α = 90.00°, β = 90.00°, γ = 90.00°
Fractional positions:
In: 0.0000 0.0000 0.0000
Cu: 0.5000 0.5000 0.5000
S: 0.0000 0.0000 0.5000
Cl: 0.0000 0.5000 0.0000
Cl: 0.5000 0.0000 0.0000

Calculated values
Energy above the most stable polymorph in this dataset = 282.8 meV per atom
Raw formation energy = 40 meV per atom

=====

(3)
A relaxed structure of AlIn2Fe, computed with GGA-PBE.

a = 2.8096 Å, b = 4.5445 Å, c = 12.4473 Å
α = 90.00°, β = 90.00°, γ = 90.00°
Fractional positions:
Al: 0.0000 0.0000 0.0000
Al: 0.5000 0.5000 0.5000
In: 0.0000 0.0000 0.3672
In: 0.0000 0.5000 0.1740
In: 0.5000 0.0000 0.6740
In: 0.5000 0.5000 0.8672
Fe: 0.0000 0.5000 0.6686
Fe: 0.5000 0.0000 0.1686

Calculated values
Energy relative to the elements = 137 meV/atom

=====

(4)
A relaxed structure of BaLiTl2, computed with GGA-PBE.

a = 8.1800 Å, b = 12.3877 Å, c = 5.0420 Å
α = 90.00°, β = 90.00°, γ = 90.00°
Fractional positions:
Ba: 0.0000 0.1485 0.2500
Ba: 0.0000 0.8515 0.7500
Ba: 0.5000 0.3515 0.7500
Ba: 0.5000 0.6485 0.2500
Li: 0.0000 0.3843 0.7500
Li: 0.0000 0.6157 0.2500
Li: 0.5000 0.1157 0.2500
Li: 0.5000 0.8843 0.7500
Tl: 0.1996 0.4113 0.2500
Tl: 0.1996 0.5887 0.7500
Tl: 0.3004 0.0887 0.7500
Tl: 0.3004 0.9113 0.2500
Tl: 0.6996 0.0887 0.7500
Tl: 0.6996 0.9113 0.2500
Tl: 0.8004 0.4113 0.2500
Tl: 0.8004 0.5887 0.7500

Calculated values
Energy relative to the elements = -307 meV/atom

=====

(5)
A relaxed structure of Li2BePt2O6, computed with GGA-PBE.

a = 5.2184 Å, b = 5.2184 Å, c = 5.0966 Å
α = 98.80°, β = 98.80°, γ = 120.97°
Fractional positions:
Li: 0.1585 0.8415 0.0000
Li: 0.8415 0.1585 0.0000
Be: 0.0000 0.0000 0.5000
Pt: 0.3359 0.6641 0.5000
Pt: 0.6641 0.3359 0.5000
O: 0.0596 0.3957 0.7160
O: 0.2288 0.2288 0.3017
O: 0.3957 0.0596 0.7160
O: 0.6043 0.9404 0.2840
O: 0.7712 0.7712 0.6983
O: 0.9404 0.6043 0.2840

Calculated values
Raw formation energy = -1237 meV per atom

=====

(6)
A relaxed structure of PmCdAgAu, computed with GGA-PBE.

a = 7.0966 Å, b = 7.0966 Å, c = 7.0966 Å
α = 90.00°, β = 90.00°, γ = 90.00°
Fractional positions:
Pm: 0.0000 0.0000 0.0000
Pm: 0.0000 0.5000 0.5000
Pm: 0.5000 0.0000 0.5000
Pm: 0.5000 0.5000 0.0000
Cd: 0.0000 0.0000 0.5000
Cd: 0.0000 0.5000 0.0000
Cd: 0.5000 0.0000 0.0000
Cd: 0.5000 0.5000 0.5000
Ag: 0.2500 0.2500 0.2500
Ag: 0.2500 0.7500 0.7500
Ag: 0.7500 0.2500 0.7500
Ag: 0.7500 0.7500 0.2500
Au: 0.2500 0.2500 0.7500
Au: 0.2500 0.7500 0.2500
Au: 0.7500 0.2500 0.2500
Au: 0.7500 0.7500 0.7500

Calculated values
Energy relative to the elements = -463 meV/atom

=====

Computed electronic total energy, in the same sequence as the records: -3.251; -2.891; -4.283; -2.449; -5.726; -3.412 eV/atom.